Material: Sm4Er11S22
Method: DFT, PBE
State: optimized geometry

Properties
Magnetization ... 0.000 μB/atom
Formation energy (no corrections) ... -2.0950 eV per atom

Cell: 19.624 19.624 11.287 Å, 88.48 88.48 11.45°
Positions (direct):
S 0.089 0.089 0.245
S 0.911 0.911 0.755
S 0.188 0.188 0.309
S 0.812 0.812 0.691
S 0.279 0.279 0.408
S 0.721 0.721 0.592
S 0.444 0.444 0.506
S 0.556 0.556 0.494
S 0.135 0.135 0.544
S 0.865 0.865 0.456
S 0.594 0.594 0.791
S 0.406 0.406 0.209
S 0.453 0.453 0.971
S 0.547 0.547 0.029
S 0.351 0.351 0.907
S 0.649 0.649 0.093
S 0.168 0.168 0.850
S 0.832 0.832 0.150
S 0.007 0.007 0.760
S 0.993 0.993 0.240
S 0.255 0.255 0.880
S 0.745 0.745 0.120
Sm 0.106 0.106 0.988
Sm 0.894 0.894 0.012
Sm 0.367 0.367 0.652
Sm 0.633 0.633 0.348
Er 0.798 0.798 0.942
Er 0.202 0.202 0.058
Er 0.461 0.461 0.730
Er 0.539 0.539 0.270
Er 0.658 0.658 0.697
Er 0.342 0.342 0.303
Er 0.265 0.265 0.648
Er 0.735 0.735 0.352
Er 0.070 0.070 0.642
Er 0.930 0.930 0.358
Er 0.000 0.000 0.000


Material: Th3MnIn
Method: DFT, PBE
State: optimized geometry

Properties
Magnetization ... 0.000 μB/atom
DFT formation energy ... -12 kJ/mol of atoms

Cell: 5.216 5.216 5.216 Å, 90.00 90.00 90.00°
Positions (direct):
Mn 0.000 0.000 0.000
Th 0.000 0.500 0.000
Th 0.000 0.000 0.500
Th 0.500 0.000 0.000
In 0.500 0.500 0.500


no.,DFT total energy (eV per cell)
1,-237.389
2,-34.770